Computed, not measured: an optimized crystal structure of BaMnCu2 at the PBE-GGA level of DFT.

Properties
Fermi-level density of states (states/eV/cell): 9.871
Symmetry: No. 141
Magnetic moment (μB/f.u.): 0.1
Calculated formation energy (eV/atom): 0.726

a b c (Å): 4.888 4.888 8.882
angles (deg): 74.03 74.03 90.00
Element x y z (fractional)
1 Ba 0.000 0.000 0.000
2 Cu 0.875 0.625 0.750
3 Cu 0.375 0.625 0.250
4 Ba 0.750 0.250 0.500
5 Cu 0.375 0.625 0.750
6 Mn 0.500 0.500 0.000
7 Mn 0.250 0.750 0.500
8 Cu 0.375 0.125 0.250

=====

Computed, not measured: an optimized crystal structure of BaMn2Cu at the PBE-GGA level of DFT.

Properties
Fermi-level density of states (states/eV/cell): 3.560
Symmetry: No. 123
Magnetic moment (μB/f.u.): 7.8
Calculated formation energy (eV/atom): 0.592

a b c (Å): 3.278 3.278 7.902
angles (deg): 90.00 90.00 90.00
Element x y z (fractional)
1 Cu 0.500 0.500 0.750
2 Mn 0.000 0.000 0.584
3 Mn 0.000 0.000 0.916
4 Ba 0.500 0.500 0.250

=====

Computed, not measured: an optimized crystal structure of BaMnCu at the PBE-GGA level of DFT.

Properties
Energy above the most stable polymorph in this dataset (meV per atom): 739.5
Fermi-level density of states (states/eV/cell): 3.390
Symmetry: No. 216
Magnetic moment (μB/f.u.): 4.3
Calculated formation energy (eV/atom): 1.095

a b c (Å): 5.291 5.291 5.291
angles (deg): 60.00 60.00 60.00
Element x y z (fractional)
1 Ba 0.750 0.750 0.750
2 Mn 0.500 0.500 0.500
3 Cu 0.000 0.000 0.000

=====

Computed, not measured: an optimized crystal structure of Ba2MnCu at the PBE-GGA level of DFT.

Properties
Energy above the most stable polymorph in this dataset (meV per atom): 86.0
Fermi-level density of states (states/eV/cell): 3.505
Symmetry: No. 99
Magnetic moment (μB/f.u.): 4.3
Calculated formation energy (eV/atom): 0.371

a b c (Å): 3.711 3.711 9.432
angles (deg): 90.00 90.00 90.00
Element x y z (fractional)
1 Ba 0.000 0.000 0.923
2 Ba 0.500 0.500 0.331
3 Cu 0.000 0.000 0.581
4 Mn 0.500 0.500 0.665

=====

Please write out number 1 again, unchanged.
Computed, not measured: an optimized crystal structure of BaMnCu2 at the PBE-GGA level of DFT.

Properties
Fermi-level density of states (states/eV/cell): 9.871
Symmetry: No. 141
Magnetic moment (μB/f.u.): 0.1
Calculated formation energy (eV/atom): 0.726

a b c (Å): 4.888 4.888 8.882
angles (deg): 74.03 74.03 90.00
Element x y z (fractional)
1 Ba 0.000 0.000 0.000
2 Cu 0.875 0.625 0.750
3 Cu 0.375 0.625 0.250
4 Ba 0.750 0.250 0.500
5 Cu 0.375 0.625 0.750
6 Mn 0.500 0.500 0.000
7 Mn 0.250 0.750 0.500
8 Cu 0.375 0.125 0.250